A) {
  "formula": "Te4C5",
  "functional": "PBE",
  "state": "optimized geometry",
  "lattice": [[6.897, 0.000, 0.000], [-3.449, 5.973, 0.000], [0.000, 0.000, 6.478]],
  "species": ["Te", "C", "C", "Te", "C", "Te", "C", "C", "Te", "Te", "C", "C", "Te", "C", "C", "Te", "Te", "C"],
  "frac_coords": [[0.000, 0.458, 0.250], [0.667, 0.333, 0.500], [0.333, 0.667, 0.000], [0.458, 0.000, 0.250], [0.770, 0.000, 0.250], [0.458, 0.458, 0.750], [0.333, 0.667, 0.500], [0.230, 0.000, 0.750], [0.000, 0.000, 0.000], [0.000, 0.542, 0.750], [0.230, 0.230, 0.250], [0.770, 0.770, 0.750], [0.542, 0.542, 0.250], [0.667, 0.333, 0.000], [0.000, 0.230, 0.750], [0.542, 0.000, 0.750], [0.000, 0.000, 0.500], [0.000, 0.770, 0.250]],
  "volume_a3_per_fu": 133.44,
  "total_magnetization_mub_per_cell": 0.0,
  "space_group": "P6_3/mcm, No. 193"
}

B) {
  "formula": "Te4C5",
  "functional": "PBE",
  "state": "optimized geometry",
  "lattice": [[-5.467, 5.467, 1.367], [5.467, -5.467, 1.367], [5.467, 5.467, -1.367]],
  "species": ["Te", "Te", "C", "C", "C", "Te", "Te", "C", "C"],
  "frac_coords": [[0.000, 0.234, 0.234], [0.766, 0.000, 0.766], [0.000, 0.000, 0.000], [0.769, 0.231, 0.000], [0.231, 0.231, 0.463], [0.234, 0.000, 0.234], [0.000, 0.766, 0.766], [0.769, 0.769, 0.537], [0.231, 0.769, 0.000]],
  "volume_a3_per_fu": 163.40,
  "total_magnetization_mub_per_cell": 0.0,
  "space_group": "I4/mmm, No. 139"
}

What should be chosen as the least stable of them? Choose A).

A) {
  "formula": "TlTe2C",
  "functional": "PBE",
  "state": "optimized geometry",
  "lattice": [[-5.743, 0.988, 4.408], [-4.226, -3.695, -4.677], [-4.064, -4.943, 1.869]],
  "species": ["Te", "Te", "Tl", "Tl", "Te", "Te", "C", "C"],
  "frac_coords": [[0.375, 0.499, 0.750], [0.875, 0.751, 0.750], [0.750, 0.250, 0.500], [0.000, 0.000, 0.000], [0.249, 0.625, 0.250], [0.501, 0.125, 0.250], [0.250, 0.750, 0.500], [0.500, 0.500, 0.000]],
  "volume_a3_per_fu": 112.47,
  "total_magnetization_mub_per_cell": 0.0,
  "space_group": "I-42d, No. 122"
}

B) {
  "formula": "TlTe2C",
  "functional": "PBE",
  "state": "optimized geometry",
  "lattice": [[1.959, -3.654, 6.173], [6.173, -3.263, 2.558], [4.722, 1.147, 5.629]],
  "species": ["Te", "C", "Te", "Tl"],
  "frac_coords": [[0.097, 0.097, 0.097], [0.000, 0.000, 0.000], [0.903, 0.903, 0.903], [0.500, 0.500, 0.500]],
  "volume_a3_per_fu": 179.91,
  "total_magnetization_mub_per_cell": 1.0,
  "space_group": "R-3m, No. 166"
}

C) {
  "formula": "TlTe2C",
  "functional": "PBE",
  "state": "optimized geometry",
  "lattice": [[1.971, 0.000, 9.864], [-0.986, 1.707, 9.864], [-0.986, -1.707, 9.864]],
  "species": ["Tl", "Te", "Te", "C"],
  "frac_coords": [[0.000, 0.000, 0.000], [0.115, 0.115, 0.115], [0.885, 0.885, 0.885], [0.500, 0.500, 0.500]],
  "volume_a3_per_fu": 99.59,
  "total_magnetization_mub_per_cell": 0.0,
  "space_group": "R-3m, No. 166"
}

D) {
  "formula": "TlTe2C",
  "functional": "PBE",
  "state": "optimized geometry",
  "lattice": [[0.320, -4.992, 1.194], [-4.075, -3.067, -0.656], [0.020, -3.540, -3.730]],
  "species": ["Tl", "Te", "C", "Te"],
  "frac_coords": [[0.500, 0.500, 0.500], [0.750, 0.750, 0.750], [0.000, 0.000, 0.000], [0.250, 0.250, 0.250]],
  "volume_a3_per_fu": 96.17,
  "total_magnetization_mub_per_cell": 0.0,
  "space_group": "Fm-3m, No. 225"
}

What should be chosen as the least stable of them? Choose D).

A) {
  "formula": "Tm4Te3C",
  "functional": "PBE",
  "state": "optimized geometry",
  "lattice": [[4.009, 0.000, 0.000], [0.000, 6.909, -2.350], [0.000, -0.052, 7.298]],
  "species": ["Te", "Tm", "Te", "C", "Tm", "Te", "Tm", "Tm"],
  "frac_coords": [[0.500, 0.500, 0.500], [0.500, 0.205, 0.795], [0.000, 0.500, 0.000], [0.500, 0.000, 0.000], [0.000, 0.197, 0.197], [0.000, 0.000, 0.500], [0.500, 0.795, 0.205], [0.000, 0.803, 0.803]],
  "volume_a3_per_fu": 201.66,
  "total_magnetization_mub_per_cell": 0.0,
  "space_group": "Cmmm, No. 65"
}

B) {
  "formula": "Tm4Te3C",
  "functional": "PBE",
  "state": "optimized geometry",
  "lattice": [[5.868, 0.000, 0.000], [0.000, 7.842, 0.000], [0.000, 0.000, 10.194]],
  "species": ["Tm", "C", "Te", "Tm", "Te", "Tm", "Tm", "Te", "Tm", "C", "Te", "Tm", "Tm", "Te", "Tm", "Te"],
  "frac_coords": [[0.606, 0.134, 0.000], [0.000, 0.137, 0.000], [0.064, 0.650, 0.740], [0.065, 0.236, 0.205], [0.564, 0.350, 0.240], [0.065, 0.236, 0.795], [0.576, 0.145, 0.500], [0.073, 0.251, 0.500], [0.106, 0.866, 0.500], [0.500, 0.863, 0.500], [0.064, 0.650, 0.260], [0.565, 0.764, 0.705], [0.565, 0.764, 0.295], [0.564, 0.350, 0.760], [0.076, 0.855, 0.000], [0.573, 0.749, 0.000]],
  "volume_a3_per_fu": 234.53,
  "total_magnetization_mub_per_cell": 0.0,
  "space_group": "Pmn2_1, No. 31"
}

What should be chosen as the least stable of them? Choose B).

A) {
  "formula": "Tm4TeC",
  "functional": "PBE",
  "state": "optimized geometry",
  "lattice": [[-4.215, -3.082, -3.049], [-6.318, -6.064, 3.260], [-7.691, 2.209, 2.597]],
  "species": ["Te", "Tm", "Tm", "C", "Te", "Tm", "Tm", "Tm", "Tm", "Tm", "C", "Tm"],
  "frac_coords": [[0.750, 0.382, 0.236], [0.617, 0.669, 0.389], [0.383, 0.331, 0.611], [0.750, 0.075, 0.850], [0.250, 0.618, 0.764], [0.883, 0.942, 0.389], [0.117, 0.058, 0.611], [0.641, 0.848, 0.904], [0.141, 0.752, 0.096], [0.359, 0.152, 0.096], [0.250, 0.925, 0.150], [0.859, 0.248, 0.904]],
  "volume_a3_per_fu": 154.08,
  "total_magnetization_mub_per_cell": 0.0,
  "space_group": "C2/c, No. 15"
}

B) {
  "formula": "Tm4TeC",
  "functional": "PBE",
  "state": "optimized geometry",
  "lattice": [[-4.736, -1.015, -0.251], [4.190, -8.707, 3.002], [-1.738, 6.658, 5.894]],
  "species": ["Te", "Tm", "Tm", "Tm", "Tm", "C", "Te", "Tm", "Tm", "Tm", "C", "Tm"],
  "frac_coords": [[0.843, 0.686, 0.727], [0.977, 0.954, 0.648], [0.182, 0.365, 0.970], [0.395, 0.789, 0.335], [0.818, 0.635, 0.030], [0.107, 0.215, 0.653], [0.157, 0.314, 0.273], [0.765, 0.531, 0.325], [0.235, 0.469, 0.675], [0.605, 0.211, 0.665], [0.893, 0.785, 0.347], [0.023, 0.046, 0.352]],
  "volume_a3_per_fu": 182.44,
  "total_magnetization_mub_per_cell": 0.0,
  "space_group": "C2/m, No. 12"
}

What should be chosen as the least stable of them? Choose B).